SrLi3In at its PBEsol-relaxed geometry. Source: Alexandria, functional SCAN.

Results
Crystal system: cubic
Total energy (eV per cell): -63.5
Calculated formation energy (meV per atom): -138

Lattice parameters (Å, degrees): 5.1529 5.1529 5.1529 90.00 90.00 90.00
Space group Pm-3m (No. 221)
One atom of each set of equivalent atoms:
Sr  0.0000  0.0000  0.0000 [1 per cell]
Li  0.0000  0.5000  0.5000 [3 per cell]
In  0.5000  0.5000  0.5000 [1 per cell]